## a
Entry from Alexandria: Zn2CoH after structural relaxation (PBE).

Unit cell a=6.206 b=6.206 c=4.417 alpha=90.00 beta=90.00 gamma=90.00
Space group I-42d (No. 122)
Inequivalent atoms, fractional coordinates:
Zn  0.170  0.250  0.125 [8 per cell]
Co  0.000  0.000  0.500 [4 per cell]
H  0.000  0.000  0.000 [4 per cell]


## b
Entry from Alexandria: Zn2CoH after structural relaxation (PBE).

Unit cell a=5.695 b=5.695 c=5.695 alpha=90.00 beta=90.00 gamma=90.00
Space group Fm-3m (No. 225)
Inequivalent atoms, fractional coordinates:
Zn  0.250  0.250  0.250 [8 per cell]
Co  0.000  0.000  0.000 [4 per cell]
H  0.000  0.000  0.500 [4 per cell]


## c
Entry from Alexandria: Zn2CoH after structural relaxation (PBE).

Unit cell a=4.772 b=2.763 c=6.596 alpha=90.00 beta=103.85 gamma=90.00
Space group Cm (No. 8)
Inequivalent atoms, fractional coordinates:
Zn  0.000  0.000  0.000 [2 per cell]
Zn  0.214  0.000  0.644 [2 per cell]
Co  0.437  0.000  0.312 [2 per cell]
H  0.289  0.500  0.367 [2 per cell]


Of all the structures shown, which is most stable? c, and b is the least stable.